Version 1
Material: AcLa2Sn
Method: DFT, GGA-PBE
State: relaxed

The structure in extended XYZ format:
```
4
Lattice="-3.476 1.136 -1.516 -3.278 -0.183 2.212 -0.432 10.625 3.781" Properties=species:S:1:pos:R:3 pbc="T T T"
Sn -4.502 0.639 0.465
La -1.858 2.549 1.000
La -0.827 8.388 3.011
Ac -3.593 5.791 2.239
```

Computed properties:
**Mass density**: 6.9 g/cm3


Version 2
Material: AcLa2Sn
Method: DFT, GGA-PBE
State: relaxed

The structure in extended XYZ format:
```
8
Lattice="-4.307 -0.884 -2.006 -0.197 -4.359 2.344 -3.187 5.623 10.188" Properties=species:S:1:pos:R:3 pbc="T T T"
Sn -2.457 2.384 4.226
Sn -6.926 1.913 8.209
Ac -4.317 -0.619 3.721
Ac -0.901 0.874 1.550
La -2.659 -2.226 0.870
La -4.763 4.621 8.193
La -5.660 2.959 5.028
La -3.626 1.243 7.240
```

Computed properties:
**Mass density**: 7.3 g/cm3


Version 3
Material: AcLa2Sn
Method: DFT, GGA-PBE
State: relaxed

The structure in extended XYZ format:
```
4
Lattice="-0.837 1.674 -4.778 -1.748 -4.633 -1.317 -4.743 1.413 1.326" Properties=species:S:1:pos:R:3 pbc="T T T"
La -2.372 0.706 0.663
La -0.874 -2.316 -0.659
Sn -0.418 0.837 -2.389
Ac -3.664 -0.773 -2.385
```

Computed properties:
**Mass density**: 7.7 g/cm3


Version 4
Material: AcLa2Sn
Method: DFT, GGA-PBE
State: relaxed

The structure in extended XYZ format:
```
4
Lattice="-1.070 -5.644 -0.536 3.266 -3.238 -3.483 3.661 -3.855 2.239" Properties=species:S:1:pos:R:3 pbc="T T T"
Sn 2.929 -6.368 -0.890
La 4.393 -9.553 -1.335
La 1.464 -3.184 -0.445
Ac 0.000 0.000 0.000
```

Computed properties:
**Mass density**: 7.6 g/cm3


Of them, the most stable is version 3 and the least stable is version 1.


Version 1
Material: Ac2LaSn
Method: DFT, GGA-PBE
State: relaxed

The structure in extended XYZ format:
```
4
Lattice="5.892 0.000 0.000 2.946 5.103 0.000 2.946 1.701 4.811" Properties=species:S:1:pos:R:3 pbc="T T T"
La 0.000 0.000 0.000
Sn 5.892 3.402 2.405
Ac 2.946 1.701 1.203
Ac 8.838 5.103 3.608
```

Computed properties:
**Mass density**: 8.2 g/cm3


Version 2
Material: Ac2LaSn
Method: DFT, GGA-PBE
State: relaxed

The structure in extended XYZ format:
```
4
Lattice="-0.784 3.285 2.895 -4.376 -0.677 -0.417 0.224 -4.935 5.660" Properties=species:S:1:pos:R:3 pbc="T T T"
La -2.468 -1.164 4.069
Sn -2.580 1.304 1.239
Ac 0.174 -3.821 4.383
Ac 0.051 -1.114 1.278
```

Computed properties:
**Mass density**: 8.0 g/cm3


Version 3
Material: Ac2LaSn
Method: DFT, GGA-PBE
State: relaxed

The structure in extended XYZ format:
```
16
Lattice="-1.316 -1.877 6.374 7.805 -1.061 1.299 -1.381 11.365 3.061" Properties=species:S:1:pos:R:3 pbc="T T T"
La 2.367 2.293 5.814
La -0.888 7.055 2.945
La 2.741 6.134 4.920
La 5.996 1.372 7.790
Sn 5.020 4.143 6.477
Sn 0.686 4.060 7.914
Sn 0.088 4.284 4.257
Sn 4.422 4.368 2.820
Ac 1.782 2.241 2.194
Ac -0.345 7.047 6.769
Ac 3.326 6.186 8.540
Ac 5.453 1.380 3.965
Ac 1.356 9.844 4.734
Ac 5.169 9.186 5.815
Ac -0.061 -0.759 4.919
Ac 3.752 -1.417 6.000
```

Computed properties:
**Mass density**: 7.5 g/cm3


Of them, the most stable is version 2 and the least stable is version 1.


Version 1
Material: Ac2LaSn2
Method: DFT, GGA-PBE
State: relaxed

The structure in extended XYZ format:
```
10
Lattice="5.024 0.000 0.000 2.512 6.775 0.114 2.512 1.207 10.705" Properties=species:S:1:pos:R:3 pbc="T T T"
Sn 2.512 2.715 4.634
Sn 2.512 5.761 1.237
Sn 7.536 5.267 6.185
Sn 7.536 2.221 9.582
La 5.024 0.912 3.845
La 5.024 7.070 6.974
Ac 2.512 1.984 1.024
Ac 5.024 3.127 7.341
Ac 5.024 4.855 3.478
Ac 7.536 5.998 9.796
```

Computed properties:
**Mass density**: 7.6 g/cm3


Version 2
Material: Ac2LaSn2
Method: DFT, GGA-PBE
State: relaxed

The structure in extended XYZ format:
```
10
Lattice="4.870 0.000 0.000 0.000 8.617 0.000 0.000 0.000 8.617" Properties=species:S:1:pos:R:3 pbc="T T T"
Sn 0.000 5.397 1.089
Sn 0.000 3.220 7.529
Sn 0.000 7.529 5.397
Sn 0.000 1.089 3.220
Ac 2.435 1.482 5.791
Ac 2.435 2.826 1.482
Ac 2.435 5.791 7.135
Ac 2.435 7.135 2.826
La 0.000 4.309 4.309
La 0.000 0.000 0.000
```

Computed properties:
**Mass density**: 7.6 g/cm3


Of them, the most stable is version 2 and the least stable is version 1.


Version 1
Material: AcLaSnTe
Method: DFT, GGA-PBE
State: relaxed

The structure in extended XYZ format:
```
4
Lattice="-4.202 0.849 1.991 -0.783 -1.249 4.491 0.847 6.761 4.516" Properties=species:S:1:pos:R:3 pbc="T T T"
Te -1.674 4.266 5.870
Ac -2.654 6.003 8.670
La -0.642 2.668 3.118
Sn -4.538 0.828 6.902
```

Computed properties:
**Mass density**: 6.8 g/cm3


Version 2
Material: AcLaSnTe
Method: DFT, GGA-PBE
State: relaxed

The structure in extended XYZ format:
```
4
Lattice="5.716 0.000 0.000 2.858 4.950 0.000 2.858 1.650 4.667" Properties=species:S:1:pos:R:3 pbc="T T T"
Te 0.000 0.000 0.000
Sn 5.716 3.300 2.334
Ac 2.858 1.650 1.167
La 8.574 4.950 3.501
```

Computed properties:
**Mass density**: 7.7 g/cm3


Of them, the most stable is version 1 and the least stable is version 2.